1.
{
  "formula": "PaTlBiO6",
  "functional": "PBE",
  "state": "relaxed",
  "formation_energy_uncorrected_ev_per_atom": -1.70,
  "n_ef_per_ev_cell": 10.543,
  "cell": [[8.206, 0.000, 0.000], [0.000, 7.848, 0.000], [-4.103, -3.924, 5.738]],
  "species": ["O", "O", "Bi", "O", "O", "Pa", "Pa", "O", "O", "Tl", "O", "O", "Bi", "O", "Tl", "O", "O", "O"],
  "fractional_positions": [[0.448, 0.070, 0.256], [0.423, 0.673, 0.847], [0.500, 0.500, 0.000], [0.199, 0.949, 0.398], [0.552, 0.314, 0.744], [0.000, 0.000, 0.500], [0.500, 0.000, 0.500], [0.801, 0.051, 0.602], [0.552, 0.930, 0.744], [0.796, 0.546, 0.592], [0.191, 0.314, 0.744], [0.577, 0.327, 0.153], [0.500, 0.000, 0.000], [0.809, 0.686, 0.256], [0.204, 0.454, 0.408], [0.448, 0.686, 0.256], [0.191, 0.930, 0.744], [0.809, 0.070, 0.256]]
}

2.
{
  "formula": "BaSiHgF2",
  "functional": "PBE",
  "state": "relaxed",
  "formation_energy_uncorrected_ev_per_atom": -0.53,
  "n_ef_per_ev_cell": 1.539,
  "cell": [[4.615, 0.000, 0.000], [0.000, 7.360, 0.000], [0.000, 0.000, 4.615]],
  "species": ["Ba", "F", "F", "Si", "Hg"],
  "fractional_positions": [[0.000, 0.500, 0.000], [0.000, 0.000, 0.500], [0.500, 0.000, 0.000], [0.500, 0.500, 0.500], [0.000, 0.000, 0.000]]
}

3.
{
  "formula": "Ba3Ga4Pt4",
  "functional": "PBE",
  "state": "relaxed",
  "ef_ev_per_atom": -0.7518,
  "polymorph_energy_mev_per_atom": 0,
  "n_ef_per_ev_cell": 5.698,
  "cell": [[-1.381, 2.235, 3.610], [1.565, -3.473, 2.749], [11.465, 6.463, -2.376]],
  "species": ["Ba", "Ba", "Ga", "Ga", "Ba", "Pt", "Pt", "Pt", "Pt", "Ga", "Ga"],
  "fractional_positions": [[0.651, 0.151, 0.302], [0.349, 0.849, 0.698], [0.204, 0.704, 0.407], [0.446, 0.446, 0.893], [0.000, 0.000, 0.000], [0.102, 0.602, 0.204], [0.898, 0.398, 0.796], [0.248, 0.248, 0.495], [0.752, 0.752, 0.505], [0.554, 0.554, 0.107], [0.796, 0.296, 0.593]]
}